(1)
VASP calculation (GGA-PBE) on a relaxed structure of YHoIn.

a = 3.6318 Å, b = 5.2223 Å, c = 5.2223 Å
α = 120.00°, β = 90.00°, γ = 90.00°
Sites, in units of the cell vectors:
Y (0.3814, 0.3333, 0.6667)
Ho (0.9370, 0.0000, 0.0000)
In (0.6816, 0.6667, 0.3333)

Properties
relative energy among the computed polymorphs = 90 meV per atom
DOS at the Fermi energy = 0.82 states/eV per atom
E_tot = -14.5 eV/cell
ΔH_f (0 K) = -237.2 meV/atom



(2)
VASP calculation (GGA-PBE) on a relaxed structure of Dy2ZrAl.

a = 3.4159 Å, b = 3.4159 Å, c = 8.6913 Å
α = 90.00°, β = 90.00°, γ = 90.00°
Sites, in units of the cell vectors:
Al (0.5000, 0.5000, 0.0000)
Zr (0.5000, 0.5000, 0.5000)
Dy (0.0000, 0.0000, 0.2308)
Dy (0.0000, 0.0000, 0.7692)

Properties
relative energy among the computed polymorphs = 18 meV per atom
DOS at the Fermi energy = 0.83 states/eV per atom
E_tot = -22.1 eV/cell
ΔH_f (0 K) = -141.4 meV/atom



(3)
VASP calculation (GGA-PBE) on a relaxed structure of ZrSi.

a = 5.3189 Å, b = 5.3189 Å, c = 5.3189 Å
α = 90.00°, β = 90.00°, γ = 90.00°
Sites, in units of the cell vectors:
Si (0.5906, 0.9094, 0.0906)
Zr (0.8971, 0.6029, 0.3971)
Zr (0.3971, 0.8971, 0.6029)
Si (0.9094, 0.0906, 0.5906)
Si (0.4094, 0.4094, 0.4094)
Zr (0.6029, 0.3971, 0.8971)
Zr (0.1029, 0.1029, 0.1029)
Si (0.0906, 0.5906, 0.9094)

Properties
E_form (uncorrected) = -46.54 kJ/mol of atoms
DOS at the Fermi energy = 1.05 states/eV per atom
E_tot = -59.7 eV/cell



(4)
VASP calculation (GGA-PBE) on a relaxed structure of Dy2ErV.

a = 3.4427 Å, b = 3.4427 Å, c = 10.6770 Å
α = 80.72°, β = 80.72°, γ = 60.00°
Sites, in units of the cell vectors:
Er (0.5000, 0.5000, 0.5000)
Dy (0.7382, 0.7382, 0.7855)
V (0.0000, 0.0000, 0.0000)
Dy (0.2618, 0.2618, 0.2145)

Properties
DOS at the Fermi energy = 1.34 states/eV per atom
E_tot = -21.5 eV/cell
ΔH_f (0 K) = 347.0 meV/atom



(5)
VASP calculation (GGA-PBE) on a relaxed structure of ZnGa6.

a = 5.6443 Å, b = 5.6443 Å, c = 8.4554 Å
α = 90.00°, β = 90.00°, γ = 90.00°
Sites, in units of the cell vectors:
Ga (0.8239, 0.6761, 0.3567)
Ga (0.0000, 0.0000, 0.1478)
Zn (0.0000, 0.5000, 0.0000)
Ga (0.8239, 0.3239, 0.6433)
Ga (0.3239, 0.8239, 0.3567)
Ga (0.5000, 0.5000, 0.1478)
Zn (0.5000, 0.0000, 0.0000)
Ga (0.1761, 0.3239, 0.3567)
Ga (0.5000, 0.5000, 0.8522)
Ga (0.0000, 0.0000, 0.8522)
Ga (0.1761, 0.6761, 0.6433)
Ga (0.6761, 0.8239, 0.6433)
Ga (0.3239, 0.1761, 0.6433)
Ga (0.6761, 0.1761, 0.3567)

Properties
relative energy among the computed polymorphs = 0 meV per atom
DOS at the Fermi energy = 0.30 states/eV per atom
E_tot = -37.8 eV/cell
ΔH_f (0 K) = 77.4 meV/atom



(6)
VASP calculation (GGA-PBE) on a relaxed structure of CrTc2Pb.

a = 3.0144 Å, b = 3.0144 Å, c = 7.1728 Å
α = 90.00°, β = 90.00°, γ = 90.02°
Sites, in units of the cell vectors:
Tc (0.0000, 0.0000, 0.4511)
Tc (0.0000, 0.0000, 0.0489)
Pb (0.5000, 0.5000, 0.7500)
Cr (0.5000, 0.5000, 0.2500)

Properties
relative energy among the computed polymorphs = 0 meV per atom
DOS at the Fermi energy = 0.89 states/eV per atom
E_tot = -32.2 eV/cell
ΔH_f (0 K) = 462.7 meV/atom



(7)
VASP calculation (GGA-PBE) on a relaxed structure of TbDyZnCo.

a = 3.8442 Å, b = 4.2561 Å, c = 5.6246 Å
α = 90.00°, β = 109.98°, γ = 90.00°
Sites, in units of the cell vectors:
Zn (0.5657, 0.5000, 0.1315)
Co (0.4351, 0.0000, 0.8702)
Dy (0.8591, 0.5000, 0.7182)
Tb (0.1400, 0.0000, 0.2801)

Properties
relative energy among the computed polymorphs = 0 meV per atom
DOS at the Fermi energy = 0.86 states/eV per atom
E_tot = -18.5 eV/cell
ΔH_f (0 K) = -232.9 meV/atom



(8)
VASP calculation (GGA-PBE) on a relaxed structure of InAsCl2.

a = 3.2815 Å, b = 4.3745 Å, c = 6.3592 Å
α = 90.00°, β = 90.00°, γ = 90.00°
Sites, in units of the cell vectors:
In (0.5000, 0.5000, 0.2500)
Cl (0.0000, 0.0000, 0.9914)
As (0.5000, 0.5000, 0.7500)
Cl (0.0000, 0.0000, 0.5086)

Properties
relative energy among the computed polymorphs = 509 meV per atom
E_form (uncorrected) = 2.83 kJ/mol of atoms
DOS at the Fermi energy = 0.51 states/eV per atom
E_tot = -11.0 eV/cell